Computed, not measured: an optimized crystal structure of Zr5GaRh at the PBE level of DFT.

- E_form: -0.2859 eV per atom

```
data_Zr5GaRh
_chemical_formula_sum 'Zr20 Ga4 Rh4'
_cell_length_a 8.586
_cell_length_b 12.608
_cell_length_c 5.505
_cell_angle_alpha 90.00
_cell_angle_beta 95.63
_cell_angle_gamma 90.00
_space_group_name_H-M_alt 'C 1 2/c 1'
_space_group_IT_number 15
loop_
_space_group_symop_operation_xyz
'x,y,z'
'-x,-y,-z'
'-x,y,-z+1/2'
'x,-y,z+1/2'
'x+1/2,y+1/2,z'
'-x+1/2,-y+1/2,-z'
'-x+1/2,y+1/2,-z+1/2'
'x+1/2,-y+1/2,z+1/2'
loop_
_atom_site_label
_atom_site_fract_x
_atom_site_fract_y
_atom_site_fract_z
_atom_site_occupancy
Zr1 0.000 0.192 0.250 1
Zr2 0.184 0.163 0.775 1
Zr3 0.189 0.420 0.711 1
Ga1 0.000 0.408 0.250 1
Rh1 0.000 0.000 0.000 1
```

=====

Computed, not measured: an optimized crystal structure of ZrGa3Rh at the PBE level of DFT.

- Energy above the lowest structure with this stoichiometry: 124 meV per atom
- E_form: -0.4262 eV per atom

```
data_ZrGa3Rh
_chemical_formula_sum 'Zr2 Ga6 Rh2'
_cell_length_a 4.299
_cell_length_b 6.269
_cell_length_c 6.569
_cell_angle_alpha 90.00
_cell_angle_beta 90.00
_cell_angle_gamma 90.00
_space_group_name_H-M_alt 'P m m n'
_space_group_IT_number 59
loop_
_space_group_symop_operation_xyz
'x,y,z'
'-x,-y,-z'
'-x+1/2,-y+1/2,z'
'x+1/2,y+1/2,-z'
'x+1/2,-y,-z'
'-x+1/2,y,z'
'-x,y+1/2,-z'
'x,-y+1/2,z'
loop_
_atom_site_label
_atom_site_fract_x
_atom_site_fract_y
_atom_site_fract_z
_atom_site_occupancy
Zr1 0.250 0.250 0.193 1
Ga1 0.250 0.041 0.789 1
Ga2 0.250 0.750 0.478 1
Rh1 0.250 0.750 0.099 1
```

=====

Computed, not measured: an optimized crystal structure of ZrGa3Rh4 at the PBE level of DFT.

- E_form: -0.7607 eV per atom

```
data_ZrGa3Rh4
_chemical_formula_sum 'Zr3 Ga9 Rh12'
_cell_length_a 4.3993
_cell_length_b 4.3993
_cell_length_c 21.4540
_cell_angle_alpha 90.00
_cell_angle_beta 90.00
_cell_angle_gamma 120.00
_space_group_name_H-M_alt 'R -3 m'
_space_group_IT_number 166
_space_group_name_Hall '-R 3 2"'
loop_
_atom_site_label
_atom_site_fract_x
_atom_site_fract_y
_atom_site_fract_z
_atom_site_occupancy
Zr1 0.0000 0.0000 0.0000 1
Ga1 0.0000 0.0000 0.2516 1
Ga2 0.0000 0.0000 0.5000 1
Rh1 0.0000 0.0000 0.1283 1
Rh2 0.0000 0.0000 0.3823 1
```

=====

Computed, not measured: an optimized crystal structure of Zr3Ga3Rh2 at the PBE level of DFT.

- E_form: -0.6778 eV per atom

```
data_Zr3Ga3Rh2
_chemical_formula_sum 'Zr12 Ga12 Rh8'
_cell_length_a 7.882
_cell_length_b 13.511
_cell_length_c 5.458
_cell_angle_alpha 90.00
_cell_angle_beta 90.00
_cell_angle_gamma 90.00
_space_group_name_H-M_alt 'P n m a'
_space_group_IT_number 62
loop_
_space_group_symop_operation_xyz
'x,y,z'
'-x,-y,-z'
'-x+1/2,-y,z+1/2'
'x+1/2,y,-z+1/2'
'x+1/2,-y+1/2,-z+1/2'
'-x+1/2,y+1/2,z+1/2'
'-x,y+1/2,-z'
'x,-y+1/2,z'
loop_
_atom_site_label
_atom_site_fract_x
_atom_site_fract_y
_atom_site_fract_z
_atom_site_occupancy
Zr1 0.029 0.114 0.125 1
Zr2 0.183 0.250 0.642 1
Ga1 0.195 0.750 0.648 1
Ga2 0.197 0.031 0.597 1
Rh1 0.084 0.615 0.355 1
```

=====

Copy entry 3 word for word.
Computed, not measured: an optimized crystal structure of ZrGa3Rh4 at the PBE level of DFT.

- E_form: -0.7607 eV per atom

```
data_ZrGa3Rh4
_chemical_formula_sum 'Zr3 Ga9 Rh12'
_cell_length_a 4.3993
_cell_length_b 4.3993
_cell_length_c 21.4540
_cell_angle_alpha 90.00
_cell_angle_beta 90.00
_cell_angle_gamma 120.00
_space_group_name_H-M_alt 'R -3 m'
_space_group_IT_number 166
_space_group_name_Hall '-R 3 2"'
loop_
_atom_site_label
_atom_site_fract_x
_atom_site_fract_y
_atom_site_fract_z
_atom_site_occupancy
Zr1 0.0000 0.0000 0.0000 1
Ga1 0.0000 0.0000 0.2516 1
Ga2 0.0000 0.0000 0.5000 1
Rh1 0.0000 0.0000 0.1283 1
Rh2 0.0000 0.0000 0.3823 1
```

=====

Question: Which of these has the lowest E_form?
Answer: ZrGa3Rh4

=====

Question: Which value of E_form does entry 1 give?
Answer: -0.2859 eV per atom